{
  "formula": "YMg14Cr",
  "functional": "PBE",
  "state": "optimized geometry",
  "lattice": [[3.168, -5.638, 0.000], [3.168, 5.638, 0.000], [0.000, 0.000, 10.352]],
  "species": ["Mg", "Mg", "Mg", "Mg", "Mg", "Mg", "Mg", "Mg", "Mg", "Mg", "Mg", "Mg", "Mg", "Mg", "Cr", "Y"],
  "fractional_positions": [[0.174, 0.826, 0.733], [0.837, 0.670, 0.000], [0.667, 0.333, 0.756], [0.665, 0.829, 0.749], [0.667, 0.333, 0.244], [0.171, 0.335, 0.749], [0.834, 0.166, 0.000], [0.330, 0.163, 0.000], [0.665, 0.829, 0.251], [0.818, 0.668, 0.500], [0.174, 0.826, 0.267], [0.332, 0.182, 0.500], [0.332, 0.668, 0.000], [0.171, 0.335, 0.251], [0.337, 0.663, 0.500], [0.826, 0.174, 0.500]],
  "final_energy_ev_per_cell": -37.5,
  "volume_a3_per_atom": 23.11,
  "de_polymorph_kcal_per_mol_atoms": 0.00,
  "density_g_cm3": 2.16,
  "formation_energy_ev_per_atom": 0.06
}